Computed, not measured: a relaxed structure of KHgW2O8 at the GGA+U level of DFT.

It has space group I-4m2 (No. 119), with a = 7.685 Å, b = 7.685 Å, c = 7.139 Å, α = 90.00°, β = 90.00° and γ = 90.00°. The inequivalent atoms are K at (0.000, 0.000, 0.000), Hg at (0.000, 0.500, 0.250), W at (0.000, 0.000, 0.500), W at (0.000, 0.500, 0.750), O at (0.000, 0.194, 0.353) and O at (0.000, 0.314, 0.906).

The calculation puts the total DFT energy (no corrections) at -143.81 eV for the cell shown.